First-principles (PBE) data for an optimized crystal structure of LaCuC, as listed in the Alexandria database.

a b c (Å): 4.931 5.292 5.292
angles (deg): 52.01 90.00 90.00
Element x y z (fractional)
La1 0.000 0.000 0.000
La2 0.500 0.361 0.361
Cu1 0.253 0.668 0.668
Cu2 0.747 0.668 0.668
C1 0.500 0.236 0.937
C2 0.500 0.937 0.236

Properties
The calculation puts the magnetization at 0.0 μB/f.u. As for the space-group type: Amm2. The energy of formation from the pure elements is 0.001 eV/atom.

=====

First-principles (PBE) data for an optimized crystal structure of LaCuC, as listed in the Alexandria database.

a b c (Å): 4.603 4.603 5.631
angles (deg): 90.00 90.00 120.00
Element x y z (fractional)
La1 0.333 0.667 0.250
La2 0.667 0.333 0.750
Cu1 0.000 0.000 0.000
Cu2 0.000 0.000 0.500
C1 0.333 0.667 0.750
C2 0.667 0.333 0.250

Properties
The calculation puts the magnetization at 0.0 μB/f.u. As for the space-group type: P6_3/mmc. The energy of formation from the pure elements is 0.541 eV/atom.

=====

First-principles (PBE) data for an optimized crystal structure of LaCuC, as listed in the Alexandria database.

a b c (Å): 5.219 5.219 8.905
angles (deg): 90.00 90.00 120.00
Element x y z (fractional)
La1 0.000 0.000 0.250
La2 0.000 0.000 0.750
Cu1 0.333 0.667 0.250
Cu2 0.667 0.333 0.750
C1 0.000 0.000 0.000
C2 0.000 0.000 0.500

Properties
The calculation puts the magnetization at 1.0 μB/f.u. As for the space-group type: P6_3/mmc. The energy of formation from the pure elements is 1.742 eV/atom.

=====

First-principles (PBE) data for an optimized crystal structure of LaCuC, as listed in the Alexandria database.

a b c (Å): 4.290 4.290 7.667
angles (deg): 102.72 102.72 56.25
Element x y z (fractional)
La1 0.081 0.081 0.290
La2 0.919 0.919 0.710
Cu1 0.340 0.340 0.007
Cu2 0.660 0.660 0.993
C1 0.414 0.414 0.452
C2 0.586 0.586 0.548

Properties
The calculation puts the magnetization at 0.0 μB/f.u. As for the space-group type: C2/m. The energy of formation from the pure elements is -0.170 eV/atom.